The following is a PBE calculation of a relaxed Sm2PuHg3 crystal, from Alexandria via LeMat-Bulk.

a b c (Å): 3.7696 3.7696 11.4249
angles (deg): 90.00 90.00 90.00
Positions (direct):
Sm: 0.0000 0.0000 0.1665
Sm: 0.0000 0.0000 0.8335
Pu: 0.0000 0.0000 0.5000
Hg: 0.5000 0.5000 0.0000
Hg: 0.5000 0.5000 0.3297
Hg: 0.5000 0.5000 0.6703

Calculated values
Its formation energy is -0.348 eV per atom. Its space group is No. 123.